{
  "formula": "WO3F",
  "functional": "PBE with a Hubbard U",
  "state": "relaxed",
  "cell": [[3.8748, 0.0000, 0.0000], [0.0000, 6.5556, 0.0000], [-1.9092, 0.0000, 5.6740]],
  "species": ["W", "W", "O", "O", "O", "O", "O", "O", "F", "F"],
  "fractional_positions": [[0.0184, 0.2500, 0.1044], [0.9816, 0.7500, 0.8956], [0.0851, 0.5580, 0.1682], [0.0851, 0.9420, 0.1682], [0.4541, 0.7500, 0.8908], [0.5459, 0.2500, 0.1092], [0.9149, 0.0580, 0.8318], [0.9149, 0.4420, 0.8318], [0.2132, 0.2500, 0.4389], [0.7868, 0.7500, 0.5611]],
  "volume_a3_per_cell": 144.1,
  "total_energy_ev_per_atom": -6.448
}